DFT (PBE+U) results for an optimized crystal structure of MnSiHNO.

Cell: 2.735 2.735 7.562 Å, 98.67 90.99 119.98°
Atoms (fractional coordinates):
Mn  0.000  0.000  0.000
Si  0.575  0.174  0.730
H  0.763  0.498  0.282
N  0.716  0.418  0.144
O  0.197  0.430  0.598

Results
DOS at the Fermi energy: 1.23 states/eV/f.u.
SG: P1 (1)
M_tot: 1.60 Bohr magnetons per cell
total energy: -6.268 eV/atom